1.
DFT (meta-GGA SCAN) results for a PBEsol-optimized structure of Li4V5Ni3O16.

Lattice parameters (Å, degrees): 5.720 5.720 9.427 90.02 90.02 59.70
Atoms (fractional coordinates):
Li (0.000, 0.000, 0.000)
Li (0.002, 0.002, 0.505)
Li (0.347, 0.347, 0.907)
Li (0.664, 0.664, 0.415)
V (0.160, 0.640, 0.233)
V (0.337, 0.337, 0.517)
V (0.640, 0.160, 0.233)
V (0.650, 0.650, 0.008)
V (0.821, 0.821, 0.749)
Ni (0.172, 0.172, 0.220)
Ni (0.349, 0.836, 0.720)
Ni (0.836, 0.349, 0.720)
O (0.036, 0.491, 0.355)
O (0.176, 0.655, 0.603)
O (0.178, 0.178, 0.596)
O (0.341, 0.818, 0.103)
O (0.342, 0.342, 0.107)
O (0.481, 0.481, 0.352)
O (0.491, 0.036, 0.355)
O (0.532, 0.978, 0.860)
O (0.534, 0.534, 0.860)
O (0.655, 0.176, 0.603)
O (0.688, 0.688, 0.614)
O (0.818, 0.341, 0.103)
O (0.829, 0.829, 0.114)
O (0.978, 0.532, 0.860)
O (0.995, 0.995, 0.311)
O (0.995, 0.995, 0.806)

Uncorrected formation energy ... -6135 kJ/mol of formula units
Uncorrected energy ... -11.029 eV per atom



2.
DFT (meta-GGA SCAN) results for a PBEsol-optimized structure of Y3Zr.

Lattice parameters (Å, degrees): 3.976 3.976 7.077 90.00 90.00 90.00
Atoms (fractional coordinates):
Y (0.000, 0.000, 0.000)
Y (0.500, 0.500, 0.274)
Y (0.500, 0.500, 0.726)
Zr (0.000, 0.000, 0.500)

Energy above the lowest structure with this stoichiometry ... 136 meV/atom
E_form ... 4.86 kcal/mol of atoms
Uncorrected energy ... -28.346 eV per atom



3.
DFT (meta-GGA SCAN) results for a PBEsol-optimized structure of CoPtIO2.

Lattice parameters (Å, degrees): 3.716 3.716 7.520 90.00 90.00 90.00
Atoms (fractional coordinates):
Co (0.000, 0.000, 0.000)
Pt (0.500, 0.500, 0.500)
I (0.500, 0.500, 0.000)
O (0.000, 0.500, 0.500)
O (0.500, 0.000, 0.500)

Uncorrected formation energy ... 63 kJ/mol of formula units
Uncorrected energy ... -27.211 eV per atom



4.
DFT (meta-GGA SCAN) results for a PBEsol-optimized structure of CaAl2In.

Lattice parameters (Å, degrees): 4.922 4.922 5.855 101.01 101.01 41.39
Atoms (fractional coordinates):
Ca (0.000, 0.000, 0.000)
Al (0.494, 0.494, 0.475)
Al (0.760, 0.760, 0.297)
In (0.238, 0.238, 0.699)

E_form ... -2.63 kcal/mol of atoms
Uncorrected energy ... -14.753 eV per atom



5.
DFT (meta-GGA SCAN) results for a PBEsol-optimized structure of Zn2CdTe.

Lattice parameters (Å, degrees): 4.128 3.810 5.843 90.00 107.08 90.00
Atoms (fractional coordinates):
Zn (0.180, 0.000, 0.217)
Zn (0.820, 0.000, 0.783)
Cd (0.500, 0.500, 0.000)
Te (0.000, 0.500, 0.500)

Energy above the lowest structure with this stoichiometry ... 3 meV/atom
Uncorrected formation energy ... 39 kJ/mol of formula units
Uncorrected energy ... -23.572 eV per atom



6.
DFT (meta-GGA SCAN) results for a PBEsol-optimized structure of NbFeB3.

Lattice parameters (Å, degrees): 3.679 3.679 3.679 90.00 90.00 90.00
Atoms (fractional coordinates):
Nb (0.000, 0.000, 0.000)
Fe (0.500, 0.500, 0.500)
B (0.000, 0.500, 0.500)
B (0.500, 0.000, 0.500)
B (0.500, 0.500, 0.000)

E_form ... 12.52 kcal/mol of atoms
Uncorrected energy ... -14.167 eV per atom



7.
DFT (meta-GGA SCAN) results for a PBEsol-optimized structure of TlIn2Co.

Lattice parameters (Å, degrees): 4.887 4.887 3.429 90.00 90.00 90.00
Atoms (fractional coordinates):
Tl (0.000, 0.000, 0.000)
In (0.000, 0.500, 0.500)
In (0.500, 0.000, 0.500)
Co (0.500, 0.500, 0.000)

Energy above the lowest structure with this stoichiometry ... 2 meV/atom
E_form ... 11.66 kcal/mol of atoms
Uncorrected energy ... -38.603 eV per atom



8.
DFT (meta-GGA SCAN) results for a PBEsol-optimized structure of TiMnCo2.

Lattice parameters (Å, degrees): 4.064 4.064 4.064 60.00 60.00 60.00
Atoms (fractional coordinates):
Ti (0.000, 0.000, 0.000)
Mn (0.500, 0.500, 0.500)
Co (0.250, 0.250, 0.250)
Co (0.750, 0.750, 0.750)

E_form ... -10.01 kcal/mol of atoms
Uncorrected energy ... -17.658 eV per atom



9.
DFT (meta-GGA SCAN) results for a PBEsol-optimized structure of MnSb2Cl.

Lattice parameters (Å, degrees): 6.765 6.765 6.765 152.44 139.70 49.52
Atoms (fractional coordinates):
Mn (0.000, 0.000, 0.000)
Sb (0.194, 0.694, 0.500)
Sb (0.806, 0.306, 0.500)
Cl (0.500, 0.500, 0.000)

Energy above the lowest structure with this stoichiometry ... 2 meV/atom
Uncorrected formation energy ... -80 kJ/mol of formula units
Uncorrected energy ... -25.397 eV per atom



10.
DFT (meta-GGA SCAN) results for a PBEsol-optimized structure of ReAs2Pb.

Lattice parameters (Å, degrees): 4.220 4.220 6.693 97.66 97.66 43.68
Atoms (fractional coordinates):
Re (0.000, 0.000, 0.000)
As (0.275, 0.275, 0.825)
As (0.725, 0.725, 0.175)
Pb (0.500, 0.500, 0.500)

E_form ... 7.72 kcal/mol of atoms
Uncorrected energy ... -46.480 eV per atom



11.
DFT (meta-GGA SCAN) results for a PBEsol-optimized structure of SrRhPb2.

Lattice parameters (Å, degrees): 3.529 3.529 7.684 90.00 90.00 90.00
Atoms (fractional coordinates):
Sr (0.000, 0.000, 0.000)
Rh (0.000, 0.000, 0.500)
Pb (0.500, 0.500, 0.303)
Pb (0.500, 0.500, 0.697)

E_form ... -6.04 kcal/mol of atoms
Uncorrected energy ... -52.164 eV per atom



12.
DFT (meta-GGA SCAN) results for a PBEsol-optimized structure of LiFePt.

Lattice parameters (Å, degrees): 4.060 4.060 4.060 60.00 60.00 60.00
Atoms (fractional coordinates):
Li (0.000, 0.000, 0.000)
Fe (0.500, 0.500, 0.500)
Pt (0.250, 0.250, 0.250)

E_form ... -0.96 kcal/mol of atoms
Uncorrected energy ... -30.279 eV per atom



> Number 4 is which compound?

CaAl2In



> What is the formula in the eighth record?

TiMnCo2



> Among the records above, which one has the lowest uncorrected energy?

SrRhPb2



> Number 4 is which compound?

CaAl2In